(1)
Computed, not measured: an optimized crystal structure of Li3Tl4 at the PBE-GGA level of DFT.

Calculated values
Formation enthalpy at 0 K   -0.141 eV/atom
Calculated total energy   -2.314 eV/atom
Magnetization   0.000 μB/f.u.

```
data_Li3Tl4
_chemical_formula_sum 'Li6 Tl8'
_space_group_name_H-M_alt 'I 4/m m m'
_space_group_IT_number 139
_space_group_name_Hall '-I 4 2'
_cell_length_a 3.739
_cell_length_b 3.739
_cell_length_c 23.550
_cell_angle_alpha 90.00
_cell_angle_beta 90.00
_cell_angle_gamma 90.00
loop_
_atom_site_label
_atom_site_type_symbol
_atom_site_fract_x
_atom_site_fract_y
_atom_site_fract_z
Li1 Li 0.000 0.000 0.000
Li2 Li 0.000 0.000 0.285
Tl1 Tl 0.000 0.000 0.160
Tl2 Tl 0.000 0.000 0.427
```

---

(2)
Computed, not measured: an optimized crystal structure of La2Sm4HoTm at the PBE-GGA level of DFT.

Calculated values
Formation enthalpy at 0 K   0.030 eV/atom
Calculated total energy   -4.693 eV/atom
Magnetization   0.000 μB/f.u.

```
data_La2Sm4HoTm
_chemical_formula_sum 'La2 Sm4 Ho1 Tm1'
_space_group_name_H-M_alt 'P 1 2/m 1'
_space_group_IT_number 10
_cell_length_a 5.111
_cell_length_b 5.136
_cell_length_c 10.310
_cell_angle_alpha 90.00
_cell_angle_beta 90.10
_cell_angle_gamma 90.00
loop_
_space_group_symop_operation_xyz
'x,y,z'
'-x,-y,-z'
'-x,y,-z'
'x,-y,z'
loop_
_atom_site_label
_atom_site_type_symbol
_atom_site_fract_x
_atom_site_fract_y
_atom_site_fract_z
La1 La 0.000 0.000 0.000
La2 La 0.500 0.500 0.500
Sm1 Sm 0.000 0.500 0.249
Sm2 Sm 0.500 0.000 0.250
Ho1 Ho 0.000 0.000 0.500
Tm1 Tm 0.500 0.500 0.000
```

---

(3)
Computed, not measured: an optimized crystal structure of LiZnGeO at the PBE-GGA level of DFT.

Calculated values
Calculated total energy   -3.992 eV/atom
Magnetization   0.000 μB/f.u.

```
data_LiZnGeO
_chemical_formula_sum 'Li2 Zn2 Ge2 O2'
_space_group_name_H-M_alt 'C 1 m 1'
_space_group_IT_number 8
_cell_length_a 9.913
_cell_length_b 3.245
_cell_length_c 3.913
_cell_angle_alpha 90.00
_cell_angle_beta 111.65
_cell_angle_gamma 90.00
loop_
_space_group_symop_operation_xyz
'x,y,z'
'x,-y,z'
'x+1/2,y+1/2,z'
'x+1/2,-y+1/2,z'
loop_
_atom_site_label
_atom_site_type_symbol
_atom_site_fract_x
_atom_site_fract_y
_atom_site_fract_z
Li1 Li 0.000 0.000 0.000
Zn1 Zn 0.296 0.000 0.352
Ge1 Ge 0.194 0.500 0.768
O1 O 0.499 0.000 0.733
```

---

(4)
Computed, not measured: an optimized crystal structure of LaSm2Cd9 at the PBE-GGA level of DFT.

Calculated values
Formation enthalpy at 0 K   -0.264 eV/atom
Calculated total energy   -2.147 eV/atom
Magnetization   0.000 μB/f.u.

```
data_LaSm2Cd9
_chemical_formula_sum 'La3 Sm6 Cd27'
_space_group_name_H-M_alt 'R -3 m'
_space_group_IT_number 166
_space_group_name_Hall '-R 3 2"'
_cell_length_a 6.0140
_cell_length_b 6.0140
_cell_length_c 28.7876
_cell_angle_alpha 90.00
_cell_angle_beta 90.00
_cell_angle_gamma 120.00
loop_
_atom_site_label
_atom_site_type_symbol
_atom_site_fract_x
_atom_site_fract_y
_atom_site_fract_z
La1 La 0.0000 0.0000 0.0000
Sm1 Sm 0.0000 0.0000 0.1416
Cd1 Cd 0.0000 0.0000 0.3352
Cd2 Cd 0.0000 0.0000 0.5000
Cd3 Cd 0.0078 0.5039 0.9149
```

---

(5)
Computed, not measured: an optimized crystal structure of TaBeIn2 at the PBE-GGA level of DFT.

Calculated values
Formation enthalpy at 0 K   0.568 eV/atom
Calculated total energy   -4.696 eV/atom
Magnetization   0.000 μB/f.u.

```
data_TaBeIn2
_chemical_formula_sum 'Ta1 Be1 In2'
_space_group_name_H-M_alt 'P m m m'
_space_group_IT_number 47
_cell_length_a 2.986
_cell_length_b 4.998
_cell_length_c 5.132
_cell_angle_alpha 90.00
_cell_angle_beta 90.00
_cell_angle_gamma 90.00
loop_
_space_group_symop_operation_xyz
'x,y,z'
'-x,-y,-z'
'-x,-y,z'
'x,y,-z'
'x,-y,-z'
'-x,y,z'
'-x,y,-z'
'x,-y,z'
loop_
_atom_site_label
_atom_site_type_symbol
_atom_site_fract_x
_atom_site_fract_y
_atom_site_fract_z
Ta1 Ta 0.000 0.000 0.000
Be1 Be 0.500 0.000 0.500
In1 In 0.000 0.500 0.500
In2 In 0.500 0.500 0.000
```

---

(6)
Computed, not measured: an optimized crystal structure of KLaPdO3 at the PBE-GGA level of DFT.

Calculated values
Calculated total energy   -6.325 eV/atom
Magnetization   0.000 μB/f.u.

```
data_KLaPdO3
_chemical_formula_sum 'K4 La4 Pd4 O12'
_space_group_name_H-M_alt 'C 1 2/m 1'
_space_group_IT_number 12
_cell_length_a 13.517
_cell_length_b 4.017
_cell_length_c 7.613
_cell_angle_alpha 90.00
_cell_angle_beta 105.38
_cell_angle_gamma 90.00
loop_
_space_group_symop_operation_xyz
'x,y,z'
'-x,-y,-z'
'-x,y,-z'
'x,-y,z'
'x+1/2,y+1/2,z'
'-x+1/2,-y+1/2,-z'
'-x+1/2,y+1/2,-z'
'x+1/2,-y+1/2,z'
loop_
_atom_site_label
_atom_site_type_symbol
_atom_site_fract_x
_atom_site_fract_y
_atom_site_fract_z
K1 K 0.143 0.000 0.066
La1 La 0.150 0.000 0.583
Pd1 Pd 0.007 0.500 0.274
O1 O 0.007 0.000 0.310
O2 O 0.151 0.500 0.783
O3 O 0.168 0.500 0.364
```

---

(7)
Computed, not measured: an optimized crystal structure of Ta2BiPt at the PBE-GGA level of DFT.

Calculated values
Formation enthalpy at 0 K   0.432 eV/atom
Calculated total energy   -7.974 eV/atom
Magnetization   0.000 μB/f.u.

```
data_Ta2BiPt
_chemical_formula_sum 'Ta8 Bi4 Pt4'
_space_group_name_H-M_alt 'I -4 2 d'
_space_group_IT_number 122
_space_group_name_Hall 'I -4 2bw'
_cell_length_a 4.036
_cell_length_b 4.036
_cell_length_c 20.405
_cell_angle_alpha 90.00
_cell_angle_beta 90.00
_cell_angle_gamma 90.00
loop_
_atom_site_label
_atom_site_type_symbol
_atom_site_fract_x
_atom_site_fract_y
_atom_site_fract_z
Ta1 Ta 0.245 0.250 0.125
Bi1 Bi 0.000 0.000 0.500
Pt1 Pt 0.000 0.000 0.000
```

---

(8)
Computed, not measured: an optimized crystal structure of AgC3Se at the PBE-GGA level of DFT.

Calculated values
Calculated total energy   -3.884 eV/atom
Magnetization   0.000 μB/f.u.

```
data_AgC3Se
_chemical_formula_sum 'Ag1 C3 Se1'
_space_group_name_H-M_alt 'P m -3 m'
_space_group_IT_number 221
_space_group_name_Hall '-P 4 2 3'
_cell_length_a 3.953
_cell_length_b 3.953
_cell_length_c 3.953
_cell_angle_alpha 90.00
_cell_angle_beta 90.00
_cell_angle_gamma 90.00
loop_
_atom_site_label
_atom_site_type_symbol
_atom_site_fract_x
_atom_site_fract_y
_atom_site_fract_z
Ag1 Ag 0.000 0.000 0.000
C1 C 0.000 0.500 0.500
Se1 Se 0.500 0.500 0.500
```

---

(9)
Computed, not measured: an optimized crystal structure of BiAsPb at the PBE-GGA level of DFT.

Calculated values
Formation enthalpy at 0 K   0.065 eV/atom
Calculated total energy   -4.015 eV/atom
Magnetization   0.000 μB/f.u.

```
data_BiAsPb
_chemical_formula_sum 'Bi1 As1 Pb1'
_space_group_name_H-M_alt 'P 3 m 1'
_space_group_IT_number 156
_cell_length_a 4.0803
_cell_length_b 4.0803
_cell_length_c 6.2060
_cell_angle_alpha 90.00
_cell_angle_beta 90.00
_cell_angle_gamma 120.00
loop_
_space_group_symop_operation_xyz
'x,y,z'
'-y,x-y,z'
'-x+y,-x,z'
'-y,-x,z'
'-x+y,y,z'
'x,x-y,z'
loop_
_atom_site_label
_atom_site_type_symbol
_atom_site_fract_x
_atom_site_fract_y
_atom_site_fract_z
Bi1 Bi 0.0000 0.0000 0.0000
As1 As 0.3333 0.6667 0.7208
Pb1 Pb 0.6667 0.3333 0.4091
```

---

(10)
Computed, not measured: an optimized crystal structure of LiHoBi2 at the PBE-GGA level of DFT.

Calculated values
Formation enthalpy at 0 K   -0.583 eV/atom
Calculated total energy   -4.147 eV/atom
Magnetization   0.000 μB/f.u.

```
data_LiHoBi2
_chemical_formula_sum 'Li2 Ho2 Bi4'
_space_group_name_H-M_alt 'P 4/n m m'
_space_group_IT_number 129
_cell_length_a 4.495
_cell_length_b 4.495
_cell_length_c 10.399
_cell_angle_alpha 90.00
_cell_angle_beta 90.00
_cell_angle_gamma 90.00
loop_
_space_group_symop_operation_xyz
'x,y,z'
'-x,-y,-z'
'-y+1/2,x,z'
'y+1/2,-x,-z'
'-x+1/2,-y+1/2,z'
'x+1/2,y+1/2,-z'
'y,-x+1/2,z'
'-y,x+1/2,-z'
'x+1/2,-y,-z'
'-x+1/2,y,z'
'-y,-x,-z'
'y,x,z'
'-x,y+1/2,-z'
'x,-y+1/2,z'
'y+1/2,x+1/2,-z'
'-y+1/2,-x+1/2,z'
loop_
_atom_site_label
_atom_site_type_symbol
_atom_site_fract_x
_atom_site_fract_y
_atom_site_fract_z
Li1 Li 0.250 0.750 0.000
Ho1 Ho 0.250 0.250 0.260
Bi1 Bi 0.250 0.250 0.829
Bi2 Bi 0.250 0.750 0.500
```